# 1
Density functional theory data (PBE) for an optimized crystal structure of CsSnCl2.

```
CsSnCl2
1.0
6.4407 0.0000 0.0000
0.0000 6.4407 0.0000
0.0000 0.0000 17.5440
Cs Sn Cl
4 4 8
direct
0.0000 0.0000 0.0000 Cs
0.0000 0.5000 0.2500 Cs
0.5000 0.0000 0.7500 Cs
0.5000 0.5000 0.5000 Cs
0.0000 0.0000 0.5000 Sn
0.0000 0.5000 0.7500 Sn
0.5000 0.0000 0.2500 Sn
0.5000 0.5000 0.0000 Sn
0.1689 0.2500 0.6250 Cl
0.2500 0.6689 0.8750 Cl
0.2500 0.8311 0.3750 Cl
0.3311 0.2500 0.1250 Cl
0.6689 0.7500 0.1250 Cl
0.7500 0.1689 0.3750 Cl
0.7500 0.3311 0.8750 Cl
0.8311 0.7500 0.6250 Cl
```

Computed properties:
Raw formation energy   -22.092 kcal/mol of atoms
Polymorph energy (0 for the lowest one)   92 meV per atom
Size of the total moment   1.000 μB/f.u.

# 2
Density functional theory data (PBE) for an optimized crystal structure of CaGd2Hf.

```
CaGd2Hf
1.0
3.4580 0.0000 0.0000
0.0000 3.4580 0.0000
0.0000 0.0000 10.4667
Ca Gd Hf
1 2 1
direct
0.0000 0.0000 0.0000 Ca
0.5000 0.5000 0.2878 Gd
0.5000 0.5000 0.7122 Gd
0.0000 0.0000 0.5000 Hf
```

Computed properties:
Polymorph energy (0 for the lowest one)   0 meV per atom
Size of the total moment   15.296 μB/f.u.
Formation energy   122 meV per atom

# 3
Density functional theory data (PBE) for an optimized crystal structure of ZrMo2Br.

```
ZrMo2Br
1.0
7.7181 0.0000 0.0000
0.0000 7.7181 0.0000
0.0000 0.0000 5.2149
Zr Mo Br
4 8 4
direct
0.0000 0.0000 0.0000 Zr
0.0000 0.5000 0.2500 Zr
0.5000 0.0000 0.7500 Zr
0.5000 0.5000 0.5000 Zr
0.1951 0.7500 0.6250 Mo
0.2500 0.1951 0.3750 Mo
0.2500 0.3049 0.8750 Mo
0.3049 0.7500 0.1250 Mo
0.6951 0.2500 0.1250 Mo
0.7500 0.6951 0.8750 Mo
0.7500 0.8049 0.3750 Mo
0.8049 0.2500 0.6250 Mo
0.0000 0.0000 0.5000 Br
0.0000 0.5000 0.7500 Br
0.5000 0.0000 0.2500 Br
0.5000 0.5000 0.0000 Br
```

Computed properties:
Raw formation energy   21.305 kcal/mol of atoms
Polymorph energy (0 for the lowest one)   809 meV per atom
Size of the total moment   0.000 μB/f.u.

- Which value of polymorph energy (0 for the lowest one) does entry 2 give?
  0 meV per atom

- Look up the size of the total moment of the second one.
  15.296 μB/f.u.

- The lowest polymorph energy (0 for the lowest one) belongs to which entry?
  CaGd2Hf

Please write out number 3 again, unchanged.
Density functional theory data (PBE) for an optimized crystal structure of ZrMo2Br.

```
ZrMo2Br
1.0
7.7181 0.0000 0.0000
0.0000 7.7181 0.0000
0.0000 0.0000 5.2149
Zr Mo Br
4 8 4
direct
0.0000 0.0000 0.0000 Zr
0.0000 0.5000 0.2500 Zr
0.5000 0.0000 0.7500 Zr
0.5000 0.5000 0.5000 Zr
0.1951 0.7500 0.6250 Mo
0.2500 0.1951 0.3750 Mo
0.2500 0.3049 0.8750 Mo
0.3049 0.7500 0.1250 Mo
0.6951 0.2500 0.1250 Mo
0.7500 0.6951 0.8750 Mo
0.7500 0.8049 0.3750 Mo
0.8049 0.2500 0.6250 Mo
0.0000 0.0000 0.5000 Br
0.0000 0.5000 0.7500 Br
0.5000 0.0000 0.2500 Br
0.5000 0.5000 0.0000 Br
```

Computed properties:
Raw formation energy   21.305 kcal/mol of atoms
Polymorph energy (0 for the lowest one)   809 meV per atom
Size of the total moment   0.000 μB/f.u.